Density functional theory data (meta-GGA SCAN) for a PBEsol-optimized structure of NaYHf3.

Cell lengths 5.015, 5.015, 5.015 Å; angles 90.00, 90.00, 90.00 degrees
Space group Pm-3m (No. 221)
One atom of each set of equivalent atoms:
Na1 0.000 0.000 0.000 x1
Y1 0.500 0.500 0.500 x1
Hf1 0.000 0.000 0.500 x3

Summary:
- formation energy (meV per atom) = 1384

=====

Density functional theory data (meta-GGA SCAN) for a PBEsol-optimized structure of LiPRh.

Cell lengths 3.6114, 3.6114, 4.3888 Å; angles 90.00, 90.00, 120.00 degrees
Space group P3m1 (No. 156)
One atom of each set of equivalent atoms:
Li1 0.0000 0.0000 0.0000 x1
P1 0.6667 0.3333 0.6494 x1
Rh1 0.3333 0.6667 0.4882 x1

Summary:
- formation energy (meV per atom) = -515

=====

Density functional theory data (meta-GGA SCAN) for a PBEsol-optimized structure of YOs2W.

Cell lengths 4.617, 4.617, 3.109 Å; angles 90.00, 90.00, 90.00 degrees
Space group P4/mmm (No. 123)
One atom of each set of equivalent atoms:
Y1 0.000 0.000 0.000 x1
Os1 0.000 0.500 0.500 x2
W1 0.500 0.500 0.000 x1

Summary:
- formation energy (meV per atom) = 132

=====

Density functional theory data (meta-GGA SCAN) for a PBEsol-optimized structure of GaTe2Br.

Cell lengths 4.1235, 4.1235, 25.5307 Å; angles 90.00, 90.00, 120.00 degrees
Space group R-3m (No. 166, hexagonal axes)
One atom of each set of equivalent atoms:
Ga1 0.0000 0.0000 0.0000 x3
Te1 0.0000 0.0000 0.3918 x6
Br1 0.0000 0.0000 0.5000 x3

Summary:
- uncorrected formation energy (kJ per mole of atoms) = -9

=====

Density functional theory data (meta-GGA SCAN) for a PBEsol-optimized structure of SrCa2Au2.

Cell lengths 4.704, 4.704, 12.930 Å; angles 90.00, 90.00, 90.00 degrees
Space group I4/mmm (No. 139)
One atom of each set of equivalent atoms:
Sr1 0.000 0.000 0.000 x2
Ca1 0.000 0.500 0.250 x4
Au1 0.000 0.000 0.394 x4

Summary:
- formation energy (meV per atom) = -761

=====

Density functional theory data (meta-GGA SCAN) for a PBEsol-optimized structure of AlCr2PAu.

Cell lengths 4.233, 4.233, 4.462 Å; angles 90.00, 90.00, 90.00 degrees
Space group P4/mmm (No. 123)
One atom of each set of equivalent atoms:
Al1 0.000 0.000 0.000 x1
Cr1 0.000 0.500 0.500 x2
P1 0.000 0.000 0.500 x1
Au1 0.500 0.500 0.000 x1

Summary:
- formation energy (meV per atom) = 247

=====

Density functional theory data (meta-GGA SCAN) for a PBEsol-optimized structure of YSc2.

Cell lengths 5.2273, 5.2273, 3.2523 Å; angles 90.00, 90.00, 120.00 degrees
Space group P6/mmm (No. 191)
One atom of each set of equivalent atoms:
Y1 0.0000 0.0000 0.0000 x1
Sc1 0.3333 0.6667 0.5000 x2

Summary:
- formation energy (meV per atom) = 86

=====

Density functional theory data (meta-GGA SCAN) for a PBEsol-optimized structure of SrLi.

Cell lengths 13.697, 4.137, 8.239 Å; angles 90.00, 108.30, 90.00 degrees
Space group Cm (No. 8)
One atom of each set of equivalent atoms:
Sr1 0.000 0.000 0.000 x2
Sr2 0.003 0.000 0.524 x2
Sr3 0.294 0.000 0.160 x2
Li1 0.173 0.500 0.386 x2
Li2 0.192 0.500 0.805 x2
Li3 0.308 0.000 0.654 x2

Summary:
- formation energy (meV per atom) = 45

=====

Density functional theory data (meta-GGA SCAN) for a PBEsol-optimized structure of BaMn2Pb.

Cell lengths 4.5400, 4.5400, 18.3254 Å; angles 90.00, 90.00, 120.00 degrees
Space group R3m (No. 160, hexagonal axes)
One atom of each set of equivalent atoms:
Ba1 0.0000 0.0000 0.0000 x3
Mn1 0.0000 0.0000 0.1985 x3
Mn2 0.0000 0.0000 0.5276 x3
Pb1 0.0000 0.0000 0.8044 x3

Summary:
- formation energy (meV per atom) = -46

=====

Density functional theory data (meta-GGA SCAN) for a PBEsol-optimized structure of CsZr2GeO.

Cell lengths 5.301, 5.301, 4.229 Å; angles 90.00, 90.00, 90.00 degrees
Space group P4/mmm (No. 123)
One atom of each set of equivalent atoms:
Cs1 0.000 0.000 0.000 x1
Zr1 0.000 0.500 0.000 x2
Ge1 0.500 0.500 0.500 x1
O1 0.000 0.000 0.500 x1

Summary:
- uncorrected formation energy (kJ per mole of atoms) = 146

=====

Density functional theory data (meta-GGA SCAN) for a PBEsol-optimized structure of Be4CuAu.

Cell lengths 6.145, 6.145, 6.145 Å; angles 90.00, 90.00, 90.00 degrees
Space group F-43m (No. 216)
One atom of each set of equivalent atoms:
Be1 0.125 0.125 0.125 x16
Cu1 0.000 0.000 0.500 x4
Au1 0.250 0.250 0.750 x4

Summary:
- formation energy (meV per atom) = -298

=====

Density functional theory data (meta-GGA SCAN) for a PBEsol-optimized structure of Ga3HgRh.

Cell lengths 4.881, 4.881, 4.881 Å; angles 90.00, 90.00, 90.00 degrees
Space group Pm-3m (No. 221)
One atom of each set of equivalent atoms:
Ga1 0.000 0.000 0.500 x3
Hg1 0.000 0.000 0.000 x1
Rh1 0.500 0.500 0.500 x1

Summary:
- formation energy (meV per atom) = 1088

=====

Density functional theory data (meta-GGA SCAN) for a PBEsol-optimized structure of SrHfTi2Tl.

Cell lengths 4.890, 4.890, 5.890 Å; angles 90.00, 90.00, 90.00 degrees
Space group P4/mmm (No. 123)
One atom of each set of equivalent atoms:
Sr1 0.000 0.000 0.000 x1
Hf1 0.000 0.000 0.500 x1
Ti1 0.000 0.500 0.500 x2
Tl1 0.500 0.500 0.000 x1

Summary:
- formation energy (meV per atom) = 1046

=====

Density functional theory data (meta-GGA SCAN) for a PBEsol-optimized structure of MnP4O12.

Cell lengths 11.747, 8.042, 9.515 Å; angles 90.00, 116.17, 90.00 degrees
Space group C2/c (No. 15)
One atom of each set of equivalent atoms:
Mn1 0.250 0.250 0.000 x4
P1 0.000 0.245 0.032 x8
P2 0.185 0.011 0.695 x8
O1 0.019 0.397 0.398 x8
O2 0.064 0.098 0.164 x8
O3 0.076 0.234 0.934 x8
O4 0.136 0.162 0.576 x8
O5 0.222 0.408 0.840 x8
O6 0.241 0.074 0.861 x8

Summary:
- uncorrected formation energy (kJ per mole of atoms) = -214

=====

Density functional theory data (meta-GGA SCAN) for a PBEsol-optimized structure of CaMnPb2.

Cell lengths 7.481, 7.481, 7.481 Å; angles 90.00, 90.00, 90.00 degrees
Space group F-43m (No. 216)
One atom of each set of equivalent atoms:
Ca1 0.000 0.000 0.000 x4
Mn1 0.250 0.250 0.750 x4
Pb1 0.000 0.000 0.500 x4
Pb2 0.250 0.250 0.250 x4

Summary:
- formation energy (meV per atom) = -34

=====

Density functional theory data (meta-GGA SCAN) for a PBEsol-optimized structure of Ta2CrOs.

Cell lengths 3.099, 3.099, 6.248 Å; angles 90.00, 90.00, 90.00 degrees
Space group P4/mmm (No. 123)
One atom of each set of equivalent atoms:
Ta1 0.000 0.000 0.239 x2
Cr1 0.500 0.500 0.000 x1
Os1 0.500 0.500 0.500 x1

Summary:
- formation energy (meV per atom) = -386

=====

Density functional theory data (meta-GGA SCAN) for a PBEsol-optimized structure of LiCoBrCl2.

Cell lengths 4.521, 4.521, 5.180 Å; angles 90.00, 90.00, 90.00 degrees
Space group P4/mmm (No. 123)
One atom of each set of equivalent atoms:
Li1 0.000 0.000 0.000 x1
Co1 0.500 0.500 0.500 x1
Br1 0.500 0.500 0.000 x1
Cl1 0.000 0.500 0.500 x2

Summary:
- uncorrected formation energy (kJ per mole of atoms) = -89

=====

Density functional theory data (meta-GGA SCAN) for a PBEsol-optimized structure of Ni2C2Cl.

Cell lengths 3.723, 3.723, 7.014 Å; angles 90.00, 90.00, 90.00 degrees
Space group I4/mmm (No. 139)
One atom of each set of equivalent atoms:
Ni1 0.000 0.500 0.250 x4
C1 0.000 0.000 0.100 x4
Cl1 0.000 0.000 0.500 x2

Summary:
- uncorrected formation energy (kJ per mole of atoms) = 100

=====

Density functional theory data (meta-GGA SCAN) for a PBEsol-optimized structure of CdBr.

Cell lengths 3.8024, 3.8024, 26.0010 Å; angles 90.00, 90.00, 120.00 degrees
Space group R-3m (No. 166, hexagonal axes)
One atom of each set of equivalent atoms:
Cd1 0.0000 0.0000 0.1273 x6
Br1 0.0000 0.0000 0.3961 x6

Summary:
- uncorrected formation energy (kJ per mole of atoms) = -61

=====

Density functional theory data (meta-GGA SCAN) for a PBEsol-optimized structure of BaMgV2CuO8.

Cell lengths 8.277, 12.599, 12.294 Å; angles 90.00, 90.00, 90.00 degrees
Space group Iba2 (No. 45)
One atom of each set of equivalent atoms:
Ba1 0.118 0.250 0.000 x8
Mg1 0.127 0.082 0.329 x8
V1 0.000 0.000 0.080 x4
V2 0.000 0.500 0.419 x4
V3 0.248 0.330 0.250 x8
Cu1 0.124 0.417 0.666 x8
O1 0.098 0.086 0.497 x8
O2 0.103 0.414 0.501 x8
O3 0.109 0.405 0.174 x8
O4 0.119 0.090 0.821 x8
O5 0.129 0.425 0.838 x8
O6 0.140 0.073 0.157 x8
O7 0.152 0.248 0.660 x8
O8 0.153 0.247 0.338 x8

Summary:
- uncorrected formation energy (kJ per mole of atoms) = -251